Entry 1:
A plane-wave DFT calculation with GGA-PBE was carried out for LaNiTe3 after structural relaxation.

Properties
The value obtained for the polymorph energy (0 for the lowest one) is 0 meV per atom. As for the total energy: -23.2 eV per formula unit. The value obtained for the density of states at the Fermi level is 0.644 states/eV/atom.

Cell: 5.120 5.120 5.120 Å, 90.00 90.00 90.00°
Sites, in units of the cell vectors:
Ni 0.000 0.000 0.000
Te 0.000 0.500 0.000
Te 0.000 0.000 0.500
Te 0.500 0.000 0.000
La 0.500 0.500 0.500


Entry 2:
A plane-wave DFT calculation with GGA-PBE was carried out for Pu3As2Br after structural relaxation.

Properties
As for the total energy: -60.0 eV per formula unit. The value obtained for the density of states at the Fermi level is 4.902 states/eV/atom.

Cell: 4.135 4.135 21.192 Å, 90.00 90.00 120.00°
Each line ends with the local moment (μB).
Sites, in units of the cell vectors:
Pu 0.000 0.000 0.000  5.14
Pu 0.333 0.667 0.155  -5.41
Pu 0.333 0.667 0.345  -5.41
Pu 0.000 0.000 0.500  5.14
Pu 0.667 0.333 0.655  -5.41
Pu 0.667 0.333 0.845  -5.41
As 0.333 0.667 0.919  0.02
As 0.667 0.333 0.081  0.02
As 0.667 0.333 0.419  0.02
As 0.333 0.667 0.581  0.02
Br 0.000 0.000 0.250  0.04
Br 0.000 0.000 0.750  0.04


Entry 3:
A plane-wave DFT calculation with GGA-PBE was carried out for Tb6SnSb2Se3 after structural relaxation.

Properties
As for the total energy: -67.2 eV per formula unit. The value obtained for the density of states at the Fermi level is 0.342 states/eV/atom.

Cell: 4.272 8.510 9.520 Å, 102.53 102.96 90.00°
Sites, in units of the cell vectors:
Tb 0.333 0.924 0.666
Tb 0.665 0.589 0.329
Tb 0.667 0.076 0.334
Tb 0.997 0.252 0.995
Tb 0.003 0.748 0.005
Tb 0.335 0.411 0.671
Sn 0.500 0.000 0.000
Sb 0.833 0.666 0.666
Sb 0.167 0.334 0.334
Se 0.500 0.500 0.000
Se 0.832 0.167 0.664
Se 0.168 0.833 0.336


Entry 4:
A plane-wave DFT calculation with GGA-PBE was carried out for MgSc5 after structural relaxation.

Properties
As for the calculated formation energy: 0.19 kcal/mol of atoms. The value obtained for the polymorph energy (0 for the lowest one) is 5 meV per atom. As for the total energy: -33.2 eV per formula unit. The value obtained for the density of states at the Fermi level is 1.685 states/eV/atom.

Cell: 3.264 3.264 13.613 Å, 90.00 90.00 90.00°
Sites, in units of the cell vectors:
Mg 0.500 0.500 0.000
Sc 0.000 0.000 0.835
Sc 0.000 0.000 0.165
Sc 0.500 0.500 0.669
Sc 0.500 0.500 0.331
Sc 0.000 0.000 0.500